*a*
YHfOF2: relaxed, PBE-GGA.

Cell and atoms, written as CIF:
```
data_YHfOF2
_chemical_formula_sum 'Y1 Hf1 O1 F2'
_cell_length_a 4.384
_cell_length_b 4.384
_cell_length_c 4.539
_cell_angle_alpha 90.00
_cell_angle_beta 90.00
_cell_angle_gamma 90.00
_symmetry_space_group_name_H-M 'P 4/m m m'
_symmetry_Int_Tables_number 123
_symmetry_space_group_name_Hall '-P 4 2'
loop_
_atom_site_label
_atom_site_fract_x
_atom_site_fract_y
_atom_site_fract_z
_atom_site_occupancy
Y1 0.000 0.000 0.000 1
Hf1 0.500 0.500 0.500 1
O1 0.000 0.000 0.500 1
F1 0.000 0.500 0.000 1
```

Magnetic moment: 2.35 μB/cell
DOS at the Fermi energy: 5.57 states/eV/cell

***

*b*
YHfOF2: relaxed, PBE-GGA.

Cell and atoms, written as CIF:
```
data_YHfOF2
_chemical_formula_sum 'Y1 Hf1 O1 F2'
_cell_length_a 4.441
_cell_length_b 4.441
_cell_length_c 4.077
_cell_angle_alpha 90.00
_cell_angle_beta 90.00
_cell_angle_gamma 90.00
_symmetry_space_group_name_H-M 'P 4/m m m'
_symmetry_Int_Tables_number 123
_symmetry_space_group_name_Hall '-P 4 2'
loop_
_atom_site_label
_atom_site_fract_x
_atom_site_fract_y
_atom_site_fract_z
_atom_site_occupancy
Y1 0.000 0.000 0.000 1
Hf1 0.500 0.500 0.500 1
O1 0.500 0.500 0.000 1
F1 0.000 0.500 0.500 1
```

Magnetic moment: 2.37 μB/cell
DOS at the Fermi energy: 4.01 states/eV/cell

***

Which structure loses on stability? *a* does.

***

*a*
Hf2OsF: relaxed, PBE-GGA.

Cell and atoms, written as CIF:
```
data_Hf2OsF
_chemical_formula_sum 'Hf8 Os4 F4'
_cell_length_a 5.326
_cell_length_b 5.326
_cell_length_c 11.560
_cell_angle_alpha 90.00
_cell_angle_beta 90.00
_cell_angle_gamma 90.00
_symmetry_space_group_name_H-M 'I -4 2 d'
_symmetry_Int_Tables_number 122
_symmetry_space_group_name_Hall 'I -4 2bw'
loop_
_atom_site_label
_atom_site_fract_x
_atom_site_fract_y
_atom_site_fract_z
_atom_site_occupancy
Hf1 0.198 0.250 0.125 1
Os1 0.000 0.000 0.500 1
F1 0.000 0.000 0.000 1
```

Magnetic moment: 0.00 μB/cell
DOS at the Fermi energy: 11.71 states/eV/cell

***

*b*
Hf2OsF: relaxed, PBE-GGA.

Cell and atoms, written as CIF:
```
data_Hf2OsF
_chemical_formula_sum 'Hf8 Os4 F4'
_cell_length_a 6.457
_cell_length_b 6.457
_cell_length_c 6.457
_cell_angle_alpha 90.00
_cell_angle_beta 90.00
_cell_angle_gamma 90.00
_symmetry_space_group_name_H-M 'F m -3 m'
_symmetry_Int_Tables_number 225
_symmetry_space_group_name_Hall '-F 4 2 3'
loop_
_atom_site_label
_atom_site_fract_x
_atom_site_fract_y
_atom_site_fract_z
_atom_site_occupancy
Hf1 0.250 0.250 0.250 1
Os1 0.000 0.000 0.000 1
F1 0.000 0.000 0.500 1
```

Magnetic moment: 0.00 μB/cell
DOS at the Fermi energy: 18.17 states/eV/cell

***

Which structure loses on stability? *a* does.

***

*a*
HfPS2F: relaxed, PBE-GGA.

Cell and atoms, written as CIF:
```
data_HfPS2F
_chemical_formula_sum 'Hf1 P1 S2 F1'
_cell_length_a 4.647
_cell_length_b 4.647
_cell_length_c 3.775
_cell_angle_alpha 90.00
_cell_angle_beta 90.00
_cell_angle_gamma 90.00
_symmetry_space_group_name_H-M 'P 4/m m m'
_symmetry_Int_Tables_number 123
_symmetry_space_group_name_Hall '-P 4 2'
loop_
_atom_site_label
_atom_site_fract_x
_atom_site_fract_y
_atom_site_fract_z
_atom_site_occupancy
Hf1 0.000 0.000 0.000 1
P1 0.500 0.500 0.000 1
S1 0.000 0.500 0.500 1
F1 0.500 0.500 0.500 1
```

Magnetic moment: 0.00 μB/cell
DOS at the Fermi energy: 3.69 states/eV/cell

***

*b*
HfPS2F: relaxed, PBE-GGA.

Cell and atoms, written as CIF:
```
data_HfPS2F
_chemical_formula_sum 'Hf1 P1 S2 F1'
_cell_length_a 4.827
_cell_length_b 4.827
_cell_length_c 5.167
_cell_angle_alpha 90.00
_cell_angle_beta 90.00
_cell_angle_gamma 90.00
_symmetry_space_group_name_H-M 'P 4/m m m'
_symmetry_Int_Tables_number 123
_symmetry_space_group_name_Hall '-P 4 2'
loop_
_atom_site_label
_atom_site_fract_x
_atom_site_fract_y
_atom_site_fract_z
_atom_site_occupancy
Hf1 0.000 0.000 0.000 1
P1 0.000 0.000 0.500 1
S1 0.000 0.500 0.000 1
F1 0.500 0.500 0.500 1
```

Magnetic moment: 0.36 μB/cell
DOS at the Fermi energy: 5.53 states/eV/cell

***

Which structure loses on stability? *a* does.